Record 1
# CaEr2Cd5

CaEr2Cd5 after structural relaxation (PBE, Alexandria via LeMat-Bulk).

Geometry as POSCAR:
```
CaEr2Cd5
1.0
-2.572 2.572 7.533
2.572 -2.572 7.533
2.572 2.572 -7.533
Ca Er Cd
1 2 5
Direct
0.000 0.000 0.000
0.261 0.261 0.000
0.739 0.739 0.000
0.123 0.623 0.500
0.377 0.877 0.500
0.500 0.500 0.000
0.623 0.123 0.500
0.877 0.377 0.500
```

V: 24.91 Å³ per atom
DOS at the Fermi energy: 0.56 states/eV per atom
symmetry: I4/mmm (139)
electronic total energy: -2.239 eV/atom
ΔE_f: -0.2758 eV per atom


Record 2
# NaBSb2Te

NaBSb2Te after structural relaxation (PBE, Alexandria via LeMat-Bulk).

Geometry as POSCAR:
```
NaBSb2Te
1.0
5.381 0.000 0.000
0.000 5.381 0.000
0.000 0.000 5.465
Na B Sb Te
1 1 2 1
Direct
0.000 0.000 0.000
0.500 0.500 0.500
0.000 0.500 0.000
0.500 0.000 0.000
0.000 0.000 0.500
```

V: 31.65 Å³ per atom
DOS at the Fermi energy: 0.77 states/eV per atom
ΔE_f (raw): 1598 meV/atom
symmetry: P4/mmm (123)
electronic total energy: -2.279 eV/atom


Record 3
# Ho2CuAgO5

Ho2CuAgO5 after structural relaxation (PBE, Alexandria via LeMat-Bulk).

Geometry as POSCAR:
```
Ho2CuAgO5
1.0
6.495 0.000 0.000
0.000 6.495 0.000
0.000 0.000 5.475
Ho Cu Ag O
4 2 2 10
Direct
0.176 0.324 0.000
0.324 0.824 0.000
0.676 0.176 0.000
0.824 0.676 0.000
0.000 0.500 0.500
0.500 0.000 0.500
0.000 0.000 0.500
0.500 0.500 0.500
0.000 0.000 0.000
0.132 0.632 0.251
0.132 0.632 0.749
0.368 0.132 0.251
0.368 0.132 0.749
0.500 0.500 0.000
0.632 0.868 0.251
0.632 0.868 0.749
0.868 0.368 0.251
0.868 0.368 0.749
```

V: 12.83 Å³ per atom
DOS at the Fermi energy: 0.05 states/eV per atom
ΔE_f (raw): -2039 meV/atom
symmetry: P4/mbm (127)
electronic total energy: -6.582 eV/atom


Record 4
# PmDyPuTh

PmDyPuTh after structural relaxation (PBE, Alexandria via LeMat-Bulk).

Geometry as POSCAR:
```
PmDyPuTh
1.0
0.000 3.968 3.968
3.968 0.000 3.968
3.968 3.968 0.000
Pm Dy Pu Th
1 1 1 1
Direct
0.000 0.000 0.000
0.750 0.750 0.750
0.250 0.250 0.250
0.500 0.500 0.500
```

V: 31.25 Å³ per atom
DOS at the Fermi energy: 3.26 states/eV per atom
symmetry: F-43m (216)
electronic total energy: -7.559 eV/atom
ΔE_f: 0.2175 eV per atom


Record 5
# ScReSeBr2

ScReSeBr2 after structural relaxation (PBE, Alexandria via LeMat-Bulk).

Geometry as POSCAR:
```
ScReSeBr2
1.0
5.322 0.000 0.000
0.000 5.322 0.000
0.000 0.000 5.212
Sc Re Se Br
1 1 1 2
Direct
0.000 0.000 0.000
0.500 0.500 0.500
0.000 0.000 0.500
0.000 0.500 0.000
0.500 0.000 0.000
```

V: 29.53 Å³ per atom
DOS at the Fermi energy: 0.04 states/eV per atom
ΔE_f (raw): 274 meV/atom
symmetry: P4/mmm (123)
electronic total energy: -4.848 eV/atom


Record 6
# Dy7Ho12Sc

Dy7Ho12Sc after structural relaxation (PBE, Alexandria via LeMat-Bulk).

Geometry as POSCAR:
```
Dy7Ho12Sc
1.0
6.330 3.655 4.530
-6.330 3.655 4.530
0.000 -7.310 4.530
Dy Ho Sc
7 12 1
Direct
0.000 0.000 0.000
0.157 0.425 0.491
0.425 0.491 0.157
0.491 0.157 0.425
0.509 0.843 0.575
0.575 0.509 0.843
0.843 0.575 0.509
0.027 0.092 0.356
0.092 0.356 0.027
0.176 0.749 0.308
0.251 0.692 0.824
0.308 0.176 0.749
0.356 0.027 0.092
0.644 0.973 0.908
0.692 0.824 0.251
0.749 0.308 0.176
0.824 0.251 0.692
0.908 0.644 0.973
0.973 0.908 0.644
0.500 0.500 0.500
```

V: 31.44 Å³ per atom
DOS at the Fermi energy: 0.97 states/eV per atom
symmetry: R-3 (148)
electronic total energy: -4.390 eV/atom
ΔE_f: 0.2844 eV per atom


Record 7
# LiPu5Au6

LiPu5Au6 after structural relaxation (PBE, Alexandria via LeMat-Bulk).

Geometry as POSCAR:
```
LiPu5Au6
1.0
5.288 0.000 0.000
2.247 7.346 0.000
2.625 2.635 7.124
Li Pu Au
1 5 6
Direct
0.000 0.000 0.000
0.215 0.491 0.181
0.355 0.993 0.328
0.500 0.500 0.500
0.645 0.007 0.672
0.785 0.509 0.819
0.079 0.229 0.605
0.202 0.763 0.765
0.330 0.259 0.920
0.670 0.741 0.080
0.798 0.237 0.235
0.921 0.771 0.395
```

V: 23.06 Å³ per atom
DOS at the Fermi energy: 3.95 states/eV per atom
symmetry: P-1 (2)
electronic total energy: -8.161 eV/atom
ΔE_f: -0.3909 eV per atom


Record 8
# BaCrNi2

BaCrNi2 after structural relaxation (PBE, Alexandria via LeMat-Bulk).

Geometry as POSCAR:
```
BaCrNi2
1.0
-2.157 2.893 3.566
2.157 -2.893 3.566
2.157 2.893 -3.566
Ba Cr Ni
1 1 2
Direct
0.000 0.000 0.000
0.500 0.500 0.000
0.332 0.832 0.500
0.668 0.168 0.500
```

V: 22.25 Å³ per atom
DOS at the Fermi energy: 1.32 states/eV per atom
symmetry: Immm (71)
electronic total energy: -5.150 eV/atom
ΔE_f: 0.6269 eV per atom


Record 9
# KMgTi2Ni

KMgTi2Ni after structural relaxation (PBE, Alexandria via LeMat-Bulk).

Geometry as POSCAR:
```
KMgTi2Ni
1.0
4.430 0.000 0.000
0.000 4.430 0.000
0.000 0.000 4.941
K Mg Ti Ni
1 1 2 1
Direct
0.000 0.000 0.000
0.000 0.000 0.500
0.000 0.500 0.000
0.500 0.000 0.000
0.500 0.500 0.500
```

V: 19.40 Å³ per atom
DOS at the Fermi energy: 1.94 states/eV per atom
symmetry: P4/mmm (123)
electronic total energy: -2.810 eV/atom
ΔE_f: 2.0427 eV per atom


Record 10
# CsNaYCl5

CsNaYCl5 after structural relaxation (PBE, Alexandria via LeMat-Bulk).

Geometry as POSCAR:
```
CsNaYCl5
1.0
4.570 -6.493 0.000
4.570 6.493 0.000
-3.648 0.000 9.647
Cs Na Y Cl
2 2 2 10
Direct
0.165 0.835 0.750
0.835 0.165 0.250
0.186 0.814 0.250
0.814 0.186 0.750
0.500 0.500 0.000
0.500 0.500 0.500
0.149 0.260 0.931
0.219 0.600 0.417
0.260 0.149 0.431
0.400 0.781 0.083
0.441 0.559 0.750
0.559 0.441 0.250
0.600 0.219 0.917
0.740 0.851 0.569
0.781 0.400 0.583
0.851 0.740 0.069
```

V: 35.78 Å³ per atom
DOS at the Fermi energy: 0.00 states/eV per atom
ΔE_f (raw): -2115 meV/atom
symmetry: C2/c (15)
electronic total energy: -4.349 eV/atom


Record 11
# Co2RuBr

Co2RuBr after structural relaxation (PBE, Alexandria via LeMat-Bulk).

Geometry as POSCAR:
```
Co2RuBr
1.0
4.350 0.000 0.000
0.000 4.350 0.000
0.000 0.000 3.071
Co Ru Br
2 1 1
Direct
0.000 0.500 0.000
0.500 0.000 0.000
0.000 0.000 0.500
0.500 0.500 0.500
```

V: 14.53 Å³ per atom
DOS at the Fermi energy: 0.95 states/eV per atom
ΔE_f (raw): 880 meV/atom
symmetry: P4/mmm (123)
electronic total energy: -5.410 eV/atom


Record 12
# ZrOsBr2

ZrOsBr2 after structural relaxation (PBE, Alexandria via LeMat-Bulk).

Geometry as POSCAR:
```
ZrOsBr2
1.0
0.000 3.441 3.441
3.441 0.000 3.441
3.441 3.441 0.000
Zr Os Br
1 1 2
Direct
0.000 0.000 0.000
0.750 0.750 0.750
0.250 0.250 0.250
0.500 0.500 0.500
```

V: 20.38 Å³ per atom
DOS at the Fermi energy: 1.13 states/eV per atom
ΔE_f (raw): 634 meV/atom
symmetry: F-43m (216)
electronic total energy: -5.147 eV/atom


Repeat the fifth record exactly.
# ScReSeBr2

ScReSeBr2 after structural relaxation (PBE, Alexandria via LeMat-Bulk).

Geometry as POSCAR:
```
ScReSeBr2
1.0
5.322 0.000 0.000
0.000 5.322 0.000
0.000 0.000 5.212
Sc Re Se Br
1 1 1 2
Direct
0.000 0.000 0.000
0.500 0.500 0.500
0.000 0.000 0.500
0.000 0.500 0.000
0.500 0.000 0.000
```

V: 29.53 Å³ per atom
DOS at the Fermi energy: 0.04 states/eV per atom
ΔE_f (raw): 274 meV/atom
symmetry: P4/mmm (123)
electronic total energy: -4.848 eV/atom


Look up the DOS at the Fermi energy of the ninth one.
1.94 states/eV per atom